[1]
Below is a relaxed structure of MgMnSi2, with properties calculated at the PBE level. Values from VASP.

SG	No. 65
formation energy without anion corrections	0.087	eV/atom
N(E_F)	2.0	states/eV/f.u.
magnetic moment	2.90	Bohr magnetons per cell

Cell and atoms, written as Quantum ESPRESSO input:
```
&SYSTEM
  ibrav = 0, nat = 4, ntyp = 3
/
ATOMIC_SPECIES
Si 28.09 Si.upf
Mn 54.94 Mn.upf
Mg 24.30 Mg.upf
CELL_PARAMETERS angstrom
-2.122 4.223 -0.332
-2.352 -3.196 -2.588
-1.557 -0.613 2.174
ATOMIC_POSITIONS crystal
Si 0.000 0.000 0.000
Si 0.500 0.500 0.000
Mn 0.000 0.500 0.500
Mg 0.500 0.000 0.500
```

[2]
Below is a relaxed structure of LaEu2Hf, with properties calculated at the PBE level. Values from VASP.

SG	No. 166
N(E_F)	6.0	states/eV/f.u.
energy relative to the elements	0.481	eV per atom
magnetic moment	15.03	Bohr magnetons per cell

Cell and atoms, written as Quantum ESPRESSO input:
```
&SYSTEM
  ibrav = 0, nat = 4, ntyp = 3
/
ATOMIC_SPECIES
Hf 178.49 Hf.upf
La 138.91 La.upf
Eu 151.96 Eu.upf
CELL_PARAMETERS angstrom
-2.919 -1.363 -1.149
0.049 -2.977 -1.684
-2.367 -7.693 10.055
ATOMIC_POSITIONS crystal
Hf 0.000 0.000 0.000
La 0.500 0.500 0.500
Eu 0.081 0.081 0.756
Eu 0.919 0.919 0.244
```